1.
First-principles (PBE) data for GdTm2Zr after structural relaxation, as listed in Alexandria.

## Properties
- SG = Fm-3m (225)
- formation energy (eV per formula unit) = 0.8
- E above lowest polymorph (kJ per mole of atoms) = 11.86
- density (g/cm3) = 8.53

abc: 5.4447 5.4447 5.4447
angles: 60.00 60.00 60.00
Last column: nearest neighbours and their distance in Å.
Sites, in units of the cell vectors:
Gd (0.5000, 0.5000, 0.5000)  8 Tm 3.33
Tm (0.2500, 0.2500, 0.2500)  4 Gd 3.33, 4 Zr 3.33
Tm (0.7500, 0.7500, 0.7500)  4 Zr 3.33, 4 Gd 3.33
Zr (0.0000, 0.0000, 0.0000)  8 Tm 3.33

2.
First-principles (PBE) data for LaPm4Pr2Ho after structural relaxation, as listed in Alexandria.

## Properties
- SG = C2/c (15)
- formation energy (eV per formula unit) = 2.9
- density (g/cm3) = 6.86

abc: 9.6787 9.6787 12.0092
angles: 128.24 128.24 88.61
Last column: nearest neighbours and their distance in Å.
Sites, in units of the cell vectors:
Pm (0.7429, 0.2561, 0.4989)  1 Ho 3.29, 2 La 3.46-3.49, 3 Pr 3.47, 2 Pm 3.47-3.48
Pm (0.7308, 0.7297, 0.9757)  2 Ho 3.36-3.49, 1 La 3.38, 3 Pr 3.39-3.59, 2 Pm 3.48
Pm (0.7703, 0.7692, 0.5243)  2 Ho 3.36-3.49, 1 La 3.38, 3 Pr 3.39-3.59, 2 Pm 3.48
Pm (0.2439, 0.7571, 0.0011)  1 Ho 3.29, 2 La 3.46-3.49, 3 Pr 3.47, 2 Pm 3.47-3.48
Pm (0.2692, 0.2703, 0.0243)  2 Ho 3.36-3.49, 1 La 3.38, 3 Pr 3.39-3.59, 2 Pm 3.48
Pm (0.7561, 0.2429, 0.9989)  1 Ho 3.29, 2 La 3.46-3.49, 3 Pr 3.47, 2 Pm 3.47-3.48
Pm (0.2571, 0.7439, 0.5011)  1 Ho 3.29, 2 La 3.46-3.49, 3 Pr 3.47, 2 Pm 3.47-3.48
Pm (0.2297, 0.2308, 0.4757)  2 Ho 3.36-3.49, 1 La 3.38, 3 Pr 3.39-3.59, 2 Pm 3.48
Pr (0.0000, 0.0000, 0.5000)  6 Pm 3.45-3.59, 2 Pr 3.48
Pr (0.5000, 0.5000, 0.0000)  6 Pm 3.45-3.59, 2 Pr 3.48
Pr (0.5000, 0.0000, 0.0000)  6 Pm 3.39-3.47, 2 La 3.48
Pr (0.5000, 0.0000, 0.5000)  6 Pm 3.39-3.47, 2 La 3.48
Ho (0.0000, 0.0000, 0.0000)  6 Pm 3.29-3.49, 2 Ho 3.48
Ho (0.5000, 0.5000, 0.5000)  6 Pm 3.29-3.49, 2 Ho 3.48
La (0.0000, 0.5000, 0.5000)  6 Pm 3.38-3.49, 2 Pr 3.48
La (0.0000, 0.5000, 0.0000)  6 Pm 3.38-3.49, 2 Pr 3.48

3.
First-principles (PBE) data for LaMoRu2 after structural relaxation, as listed in Alexandria.

## Properties
- SG = Pm (6)
- formation energy (eV per formula unit) = 1.0
- E above lowest polymorph (kJ per mole of atoms) = 19.98
- density (g/cm3) = 9.60

abc: 4.5592 3.1372 5.3998
angles: 78.14 90.00 90.00
Last column: nearest neighbours and their distance in Å.
Sites, in units of the cell vectors:
Mo (0.5000, 0.7401, 0.8783)  4 Ru 2.50-2.69
Ru (0.0000, 0.1641, 0.9337)  4 Mo 2.69-2.89, 1 La 2.70, 2 Ru 2.85
Ru (0.5000, 0.0848, 0.2560)  2 Mo 2.50-2.58
La (0.0000, 0.5110, 0.4321)  5 Ru 2.70-2.94

4.
First-principles (PBE) data for ErScGaRu after structural relaxation, as listed in Alexandria.

## Properties
- SG = P4mm (99)
- formation energy (eV per formula unit) = -2.4
- E above lowest polymorph (kJ per mole of atoms) = 0.00
- density (g/cm3) = 8.25

abc: 3.3716 3.3716 6.7829
angles: 90.00 90.00 90.00
Last column: nearest neighbours and their distance in Å.
Sites, in units of the cell vectors:
Ga (0.5000, 0.5000, 0.5834)  4 Sc 2.89, 1 Ru 3.09, 4 Er 3.09
Ru (0.5000, 0.5000, 0.1281)  4 Sc 2.79, 4 Er 2.94, 1 Ga 3.09
Sc (0.0000, 0.0000, 0.3423)  4 Ru 2.79, 4 Ga 2.89
Er (0.0000, 0.0000, 0.8742)  4 Ru 2.94, 4 Ga 3.09, 1 Sc 3.18

5.
First-principles (PBE) data for LaErTm after structural relaxation, as listed in Alexandria.

## Properties
- SG = Cmcm (63)
- formation energy (eV per formula unit) = 0.1
- E above lowest polymorph (kJ per mole of atoms) = 0.00
- density (g/cm3) = 8.06

abc: 3.5372 5.4401 10.3234
angles: 90.00 99.86 90.00
Last column: nearest neighbours and their distance in Å.
Sites, in units of the cell vectors:
Er (0.6106, 0.8469, 0.2213)  6 Tm 3.53-3.55, 2 Er 3.54, 5 La 3.75-3.77
Er (0.3894, 0.3469, 0.7787)  6 Tm 3.53-3.55, 2 Er 3.54, 5 La 3.75-3.77
Tm (0.0397, 0.3470, 0.0794)  4 Tm 3.16-3.54, 1 La 3.37, 2 Er 3.53
Tm (0.9603, 0.8470, 0.9206)  4 Tm 3.16-3.54, 1 La 3.37, 2 Er 3.53
La (0.2052, 0.3471, 0.4104)  1 Tm 3.37, 6 La 3.54-3.72, 1 Er 3.75
La (0.7948, 0.8471, 0.5896)  1 Tm 3.37, 6 La 3.54-3.72, 1 Er 3.75

6.
First-principles (PBE) data for AcNi3Ge2 after structural relaxation, as listed in Alexandria.

## Properties
- SG = P6/mmm (191)
- formation energy (eV per formula unit) = -2.5
- E above lowest polymorph (kJ per mole of atoms) = 7.11
- density (g/cm3) = 9.00

abc: 5.6372 5.6372 7.3531
angles: 90.00 90.00 120.00
Last column: nearest neighbours and their distance in Å.
Sites, in units of the cell vectors:
Ge (0.3333, 0.6667, 0.5000)  6 Ni 2.46
Ge (0.6667, 0.3333, 0.0000)  6 Ni 2.46
Ge (0.6667, 0.3333, 0.5000)  6 Ni 2.46
Ge (0.3333, 0.6667, 0.0000)  6 Ni 2.46
Ac (0.0000, 0.0000, 0.0000)  6 Ge 3.25, 12 Ni 3.36-3.37
Ac (0.0000, 0.0000, 0.5000)  6 Ge 3.25, 12 Ni 3.36-3.37
Ni (0.5001, 0.0000, 0.7500)  4 Ge 2.46
Ni (0.0000, 0.4999, 0.2500)  4 Ge 2.46
Ni (0.4999, 0.0000, 0.2500)  4 Ge 2.46
Ni (0.4999, 0.4999, 0.7500)  4 Ge 2.46
Ni (0.0000, 0.5001, 0.7500)  4 Ge 2.46
Ni (0.5001, 0.5001, 0.2500)  4 Ge 2.46

Which of these has the lowest formation energy?
AcNi3Ge2

formation energy of number 6 (AcNi3Ge2)?
-2.5 eV per formula unit

Among the records above, which one has the highest formation energy?
LaPm4Pr2Ho